A relaxed structure of Zn3AgC. Source: Alexandria via LeMat-Bulk, functional GGA-PBE.

```
Zn3AgC
1.0
4.1867 0.0000 0.0000
0.0000 4.1867 0.0000
0.0000 0.0000 4.1867
Zn Ag C
3 1 1
direct
0.0000 0.5000 0.0000 Zn
0.0000 0.0000 0.5000 Zn
0.5000 0.0000 0.0000 Zn
0.5000 0.5000 0.5000 Ag
0.0000 0.0000 0.0000 C
```

Calculated values
Formation enthalpy at 0 K = 0.5760 eV/atom
Crystal system = cubic
Symmetry = Pm-3m, No. 221
Size of the total moment = 0.000 μB per cell
Total energy = -2.603 eV/atom